1.
PBE NaHg2Au, relaxed; ΔH_f (0 K) = -0.112 eV per atom
1.0
8.442 0.000 0.000
0.000 8.442 0.000
4.221 4.221 2.993
Na Au Hg
2 2 4
Cartesian
4.221 4.221 0.000 Na
4.221 8.442 1.497 Na
0.000 0.000 0.000 Au
8.442 4.221 1.497 Au
6.653 2.111 0.748 Hg
1.789 6.332 0.748 Hg
6.332 6.010 2.245 Hg
10.553 10.874 2.245 Hg

---

2.
PBE YOsPd2N, relaxed; total DFT energy (no corrections) = -28.18 eV for the cell shown
1.0
5.091 0.000 0.000
0.000 4.068 0.000
0.000 0.000 5.091
Y Os Pd N
1 1 2 1
Cartesian
0.000 0.000 0.000 Y
2.545 2.034 2.545 Os
0.000 0.000 2.545 Pd
2.545 0.000 0.000 Pd
0.000 2.034 0.000 N

---

3.
PBE Zn2IrRu, relaxed; excess energy over the best structure of this formula in the dataset = 79.6 meV per atom; ΔH_f (0 K) = 0.015 eV per atom
1.0
5.165 0.009 0.002
2.502 4.519 -0.002
-3.335 -3.108 2.428
Ir Ru Zn
1 1 2
Cartesian
3.818 2.255 0.000 Ir
1.526 1.852 1.213 Ru
0.001 0.000 0.000 Zn
2.821 -0.424 1.215 Zn

---

4.
PBE Pm3CuSb, relaxed; total DFT energy (no corrections) = -23.47 eV for the cell shown
1.0
5.378 0.000 0.000
0.000 5.378 0.000
0.000 0.000 5.378
Sb Cu Pm
1 1 3
Cartesian
2.689 2.689 2.689 Sb
0.000 0.000 0.000 Cu
0.000 2.689 0.000 Pm
0.000 0.000 2.689 Pm
2.689 0.000 0.000 Pm

---

5.
PBE CaCoSiAu2, relaxed; total DFT energy (no corrections) = -13.81 eV for the cell shown
1.0
5.234 0.000 0.000
0.000 5.374 0.000
0.000 0.000 5.234
Co Ca Au Si
1 1 2 1
Cartesian
2.617 2.687 2.617 Co
0.000 0.000 0.000 Ca
0.000 0.000 2.617 Au
2.617 0.000 0.000 Au
0.000 2.687 0.000 Si

---

6.
PBE ScTaHg2, relaxed; excess energy over the best structure of this formula in the dataset = 421.4 meV per atom; ΔH_f (0 K) = 0.466 eV per atom
1.0
-0.276 3.199 3.732
3.061 -0.419 3.833
3.576 3.317 0.668
Hg Sc Ta
2 1 1
Cartesian
0.000 0.000 0.000 Hg
4.771 4.573 6.174 Hg
3.181 3.049 4.116 Sc
1.590 1.524 2.058 Ta

---

no.,spin magnetization (μB per atom)
1,0.000
2,0.762
3,0.000
4,0.000
5,0.363
6,0.641